A plane-wave DFT calculation with PBE-GGA was carried out for a relaxed Re4Ni3 crystal.

Results
* E_form: 0.096 eV per atom
* space group: P6/mmm (191)
* energy relative to the lowest polymorph listed for this composition: 0.014 eV per atom

Unit cell a=4.656 b=4.656 c=4.898 alpha=90.00 beta=90.00 gamma=120.00
Sites, in units of the cell vectors:
Re 0.000 0.000 0.253
Re 0.667 0.333 0.500
Ni 0.500 0.000 0.000
Ni 0.500 0.500 0.000
Ni 0.000 0.500 0.000
Re 0.333 0.667 0.500
Re 0.000 0.000 0.747

***

A plane-wave DFT calculation with PBE-GGA was carried out for a relaxed ReNi2 crystal.

Results
* E_form: 0.155 eV per atom
* space group: I4_1/amd (141)
* energy relative to the lowest polymorph listed for this composition: 0.206 eV per atom

Unit cell a=11.522 b=11.522 c=11.522 alpha=166.98 beta=166.98 gamma=18.46
Sites, in units of the cell vectors:
Re 0.750 0.250 0.500
Ni 0.579 0.579 0.000
Ni 0.329 0.829 0.500
Re 0.000 0.000 0.000
Ni 0.171 0.671 0.500
Ni 0.421 0.421 0.000

***

A plane-wave DFT calculation with PBE-GGA was carried out for a relaxed Re4Ni3 crystal.

Results
* E_form: 0.082 eV per atom
* space group: I4/mmm (139)
* energy relative to the lowest polymorph listed for this composition: 0.000 eV per atom

Unit cell a=9.715 b=9.715 c=9.715 alpha=161.37 beta=161.37 gamma=26.46
Sites, in units of the cell vectors:
Re 0.854 0.854 0.000
Re 0.570 0.570 0.000
Ni 0.721 0.721 0.000
Re 0.146 0.146 0.000
Ni 0.000 0.000 0.000
Re 0.430 0.430 0.000
Ni 0.279 0.279 0.000

***

A plane-wave DFT calculation with PBE-GGA was carried out for a relaxed ReNi3 crystal.

Results
* E_form: 1.914 eV per atom
* space group: Pm-3m (221)

Unit cell a=4.546 b=4.546 c=4.546 alpha=90.00 beta=90.00 gamma=90.00
Sites, in units of the cell vectors:
Ni 0.000 0.000 0.500
Ni 0.000 0.500 0.000
Re 0.000 0.000 0.000
Ni 0.500 0.000 0.000

***

A plane-wave DFT calculation with PBE-GGA was carried out for a relaxed ReNi2 crystal.

Results
* E_form: -0.050 eV per atom
* space group: P6/mmm (191)
* energy relative to the lowest polymorph listed for this composition: 0.000 eV per atom

Unit cell a=4.068 b=4.068 c=2.525 alpha=90.00 beta=90.00 gamma=120.00
Sites, in units of the cell vectors:
Ni 0.333 0.667 0.500
Ni 0.667 0.333 0.500
Re 0.000 0.000 0.000

***

A plane-wave DFT calculation with PBE-GGA was carried out for a relaxed ReNi2 crystal.

Results
* E_form: 0.042 eV per atom
* space group: Cmcm (63)
* energy relative to the lowest polymorph listed for this composition: 0.093 eV per atom

Unit cell a=2.648 b=4.223 c=6.827 alpha=90.00 beta=101.18 gamma=90.00
Sites, in units of the cell vectors:
Re 0.896 0.500 0.792
Ni 0.216 0.500 0.432
Re 0.326 0.000 0.652
Ni 0.665 0.000 0.331
Ni 0.557 0.500 0.114
Ni 0.006 0.000 0.012

***

A plane-wave DFT calculation with PBE-GGA was carried out for a relaxed Re3Ni crystal.

Results
* E_form: 0.088 eV per atom
* space group: Cmmm (65)

Unit cell a=4.676 b=4.676 c=2.749 alpha=90.00 beta=90.00 gamma=109.58
Sites, in units of the cell vectors:
Ni 0.000 0.000 0.000
Re 0.500 0.500 0.000
Re 0.000 0.500 0.500
Re 0.500 0.000 0.500

***

A plane-wave DFT calculation with PBE-GGA was carried out for a relaxed Re2Ni13 crystal.

Results
* E_form: 0.011 eV per atom
* space group: P-1 (2)

Unit cell a=4.368 b=6.202 c=6.679 alpha=107.84 beta=96.49 gamma=90.19
Sites, in units of the cell vectors:
Ni 0.734 0.465 0.398
Ni 0.596 0.202 0.603
Ni 0.202 0.402 0.197
Ni 0.404 0.798 0.397
Ni 0.000 0.000 0.000
Ni 0.798 0.598 0.803
Ni 0.867 0.731 0.195
Ni 0.533 0.066 0.198
Ni 0.266 0.535 0.602
Ni 0.666 0.334 0.003
Re 0.934 0.863 0.599
Ni 0.334 0.666 0.997
Ni 0.133 0.269 0.805
Re 0.066 0.137 0.401
Ni 0.467 0.934 0.802

***

A plane-wave DFT calculation with PBE-GGA was carried out for a relaxed ReNi3 crystal.

Results
* E_form: 0.026 eV per atom
* space group: Pmm2 (25)

Unit cell a=2.560 b=4.165 c=4.471 alpha=90.00 beta=90.00 gamma=90.00
Sites, in units of the cell vectors:
Re 0.500 0.000 0.677
Ni 0.000 0.000 0.176
Ni 0.500 0.500 0.993
Ni 0.000 0.500 0.488

***

A plane-wave DFT calculation with PBE-GGA was carried out for a relaxed Re2Ni crystal.

Results
* E_form: 0.691 eV per atom
* space group: Fd-3m (227)
* energy relative to the lowest polymorph listed for this composition: 0.727 eV per atom

Unit cell a=5.097 b=5.097 c=5.097 alpha=60.00 beta=60.00 gamma=60.00
Sites, in units of the cell vectors:
Re 0.125 0.625 0.625
Re 0.625 0.125 0.625
Re 0.625 0.625 0.125
Re 0.625 0.625 0.625
Ni 0.000 0.000 0.000
Ni 0.250 0.250 0.250

***

A plane-wave DFT calculation with PBE-GGA was carried out for a relaxed ReNi3 crystal.

Results
* E_form: 0.140 eV per atom
* space group: Fm-3m (225)

Unit cell a=4.066 b=4.066 c=4.066 alpha=60.00 beta=60.00 gamma=60.00
Sites, in units of the cell vectors:
Re 0.250 0.250 0.250
Ni 0.750 0.750 0.750
Ni 0.000 0.000 0.000
Ni 0.500 0.500 0.500

***

A plane-wave DFT calculation with PBE-GGA was carried out for a relaxed Re3Ni crystal.

Results
* E_form: 0.154 eV per atom
* space group: P4/mmm (123)

Unit cell a=3.163 b=3.163 c=5.632 alpha=90.00 beta=90.00 gamma=90.00
Sites, in units of the cell vectors:
Ni 0.000 0.000 0.000
Re 0.000 0.000 0.500
Re 0.500 0.500 0.774
Re 0.500 0.500 0.226